# PaSIBr PBE optimized geometry
data_PaSIBr
_symmetry_space_group_name_H-M 'C 1 m 1'
_symmetry_Int_Tables_number 8
_cell_length_a 7.8178
_cell_length_b 4.5132
_cell_length_c 8.7261
_cell_angle_alpha 90.00
_cell_angle_beta 107.48
_cell_angle_gamma 90.00
loop_
_symmetry_equiv_pos_as_xyz
'x,y,z'
'x,-y,z'
'x+1/2,y+1/2,z'
'x+1/2,-y+1/2,z'
loop_
_atom_site_label
_atom_site_type_symbol
_atom_site_fract_x
_atom_site_fract_y
_atom_site_fract_z
Pa1 Pa 0.0000 0.0000 0.0000
S1 S 0.1455 0.5000 0.9368
I1 I 0.3814 0.5000 0.6465
Br1 Br 0.4050 0.0000 0.2134
# - VASP energy: -0.1989 hartree per atom
# - Density of states at the Fermi level: 11.3 states/eV per cell
# - E_form (uncorrected): -1.20 eV/atom
# - Magnetization: 2.01 μB per cell